1.
Here is a geometry-optimized NaZn2Sb2 structure from the Alexandria database. Energies are from PBE.

Results
The calculation puts the uncorrected formation energy at -0.03 eV/atom. Its raw total energy is -2.448 eV/atom. As for the polymorph energy (0 for the lowest one): 132 meV per atom. The calculated volume comes out at 229.26 Å³ per cell.

Lattice parameters (Å, degrees): 7.9811 7.9811 3.5992 90.00 90.00 90.00
Fractional positions:
Na 0.0000 0.0000 0.0000
Na 0.5000 0.5000 0.0000
Zn 0.1219 0.3781 0.0000
Zn 0.3781 0.8781 0.0000
Zn 0.6219 0.1219 0.0000
Zn 0.8781 0.6219 0.0000
Sb 0.1723 0.6723 0.5000
Sb 0.3277 0.1723 0.5000
Sb 0.6723 0.8277 0.5000
Sb 0.8277 0.3277 0.5000

2.
Here is a geometry-optimized Na5ZnSb2 structure from the Alexandria database. Energies are from PBE.

Results
The calculation puts the uncorrected formation energy at -0.30 eV/atom. Its raw total energy is -2.313 eV/atom. As for the polymorph energy (0 for the lowest one): 11 meV per atom. The calculated volume comes out at 475.50 Å³ per cell.

Lattice parameters (Å, degrees): 5.3725 5.3725 19.0229 90.00 90.00 120.00
Fractional positions:
Na 0.0000 0.0000 0.1472
Na 0.0000 0.0000 0.3528
Na 0.0000 0.0000 0.6472
Na 0.0000 0.0000 0.8528
Na 0.3333 0.6667 0.0545
Na 0.3333 0.6667 0.2500
Na 0.3333 0.6667 0.4455
Na 0.6667 0.3333 0.5545
Na 0.6667 0.3333 0.7500
Na 0.6667 0.3333 0.9455
Zn 0.3333 0.6667 0.7500
Zn 0.6667 0.3333 0.2500
Sb 0.3333 0.6667 0.6149
Sb 0.3333 0.6667 0.8851
Sb 0.6667 0.3333 0.1149
Sb 0.6667 0.3333 0.3851

3.
Here is a geometry-optimized Na2ZnSb2 structure from the Alexandria database. Energies are from PBE.

Results
The calculation puts the uncorrected formation energy at 0.15 eV/atom. Its raw total energy is -2.286 eV/atom. As for the polymorph energy (0 for the lowest one): 438 meV per atom. The calculated volume comes out at 149.63 Å³ per cell.

Lattice parameters (Å, degrees): 7.4564 7.4564 7.4564 142.94 142.94 53.42
Fractional positions:
Na 0.2500 0.7500 0.5000
Na 0.7500 0.2500 0.5000
Zn 0.0000 0.0000 0.0000
Sb 0.3991 0.3991 0.0000
Sb 0.6009 0.6009 0.0000

4.
Here is a geometry-optimized Na2ZnSb structure from the Alexandria database. Energies are from PBE.

Results
The calculation puts the uncorrected formation energy at -0.16 eV/atom. Its raw total energy is -2.171 eV/atom. As for the polymorph energy (0 for the lowest one): 0 meV per atom. The calculated volume comes out at 260.70 Å³ per cell.

Lattice parameters (Å, degrees): 5.8989 5.8989 10.1119 113.76 113.76 56.42
Fractional positions:
Na 0.1177 0.2484 0.0971
Na 0.2484 0.1177 0.5971
Na 0.7516 0.8823 0.4029
Na 0.8823 0.7516 0.9029
Zn 0.3210 0.6790 0.7500
Zn 0.6790 0.3210 0.2500
Sb 0.1786 0.8214 0.2500
Sb 0.8214 0.1786 0.7500

5.
Here is a geometry-optimized Na2ZnSb structure from the Alexandria database. Energies are from PBE.

Results
The calculation puts the uncorrected formation energy at -0.12 eV/atom. Its raw total energy is -2.132 eV/atom. As for the polymorph energy (0 for the lowest one): 39 meV per atom. The calculated volume comes out at 98.22 Å³ per cell.

Lattice parameters (Å, degrees): 5.1789 5.1789 5.1789 60.00 60.00 60.00
Fractional positions:
Na 0.2500 0.2500 0.2500
Na 0.7500 0.7500 0.7500
Zn 0.0000 0.0000 0.0000
Sb 0.5000 0.5000 0.5000

6.
Here is a geometry-optimized Na2ZnSb3 structure from the Alexandria database. Energies are from PBE.

Results
The calculation puts the uncorrected formation energy at -0.14 eV/atom. Its raw total energy is -2.851 eV/atom. The calculated volume comes out at 372.85 Å³ per cell.

Lattice parameters (Å, degrees): 8.8859 8.6779 7.2362 67.18 64.18 48.64
Fractional positions:
Na 0.2270 0.7730 0.7730
Na 0.2500 0.2500 0.2500
Na 0.7500 0.7500 0.7500
Na 0.7730 0.2270 0.2270
Zn 0.1873 0.1873 0.8127
Zn 0.8127 0.8127 0.1873
Sb 0.1185 0.6847 0.3153
Sb 0.3153 0.8815 0.1185
Sb 0.3705 0.3705 0.6295
Sb 0.6295 0.6295 0.3705
Sb 0.6847 0.1185 0.8815
Sb 0.8815 0.3153 0.6847

7.
Here is a geometry-optimized NaZn3Sb2 structure from the Alexandria database. Energies are from PBE.

Results
The calculation puts the uncorrected formation energy at -0.12 eV/atom. Its raw total energy is -2.346 eV/atom. The calculated volume comes out at 284.33 Å³ per cell.

Lattice parameters (Å, degrees): 8.8840 8.8840 9.0756 119.93 119.93 27.56
Fractional positions:
Na 0.1256 0.1256 0.0618
Na 0.8744 0.8744 0.9382
Zn 0.1209 0.1209 0.4303
Zn 0.2913 0.2913 0.6087
Zn 0.4057 0.4057 0.3831
Zn 0.5943 0.5943 0.6169
Zn 0.7087 0.7087 0.3913
Zn 0.8791 0.8791 0.5697
Sb 0.2032 0.2032 0.7931
Sb 0.4798 0.4798 0.7527
Sb 0.5202 0.5202 0.2473
Sb 0.7968 0.7968 0.2069

8.
Here is a geometry-optimized NaZnSb3 structure from the Alexandria database. Energies are from PBE.

Results
The calculation puts the uncorrected formation energy at 0.27 eV/atom. Its raw total energy is -2.720 eV/atom. As for the polymorph energy (0 for the lowest one): 331 meV per atom. The calculated volume comes out at 152.78 Å³ per cell.

Lattice parameters (Å, degrees): 5.3459 5.3459 5.3459 90.00 90.00 90.00
Fractional positions:
Na 0.0000 0.0000 0.0000
Zn 0.5000 0.5000 0.5000
Sb 0.0000 0.5000 0.5000
Sb 0.5000 0.0000 0.5000
Sb 0.5000 0.5000 0.0000

9.
Here is a geometry-optimized Na2ZnSb structure from the Alexandria database. Energies are from PBE.

Results
The calculation puts the uncorrected formation energy at -0.13 eV/atom. Its raw total energy is -2.140 eV/atom. As for the polymorph energy (0 for the lowest one): 31 meV per atom. The calculated volume comes out at 94.66 Å³ per cell.

Lattice parameters (Å, degrees): 4.4277 4.4277 4.8286 90.00 90.00 90.00
Fractional positions:
Na 0.0000 0.5000 0.0000
Na 0.5000 0.0000 0.0000
Zn 0.0000 0.0000 0.5000
Sb 0.5000 0.5000 0.5000

10.
Here is a geometry-optimized Na3ZrSb structure from the Alexandria database. Energies are from PBE.

Results
The calculation puts the uncorrected formation energy at 0.75 eV/atom. Its raw total energy is -2.580 eV/atom. As for the polymorph energy (0 for the lowest one): 0 meV per atom. The calculated volume comes out at 193.03 Å³ per cell.

Lattice parameters (Å, degrees): 5.7793 5.7793 5.7793 90.00 90.00 90.00
Fractional positions:
Na 0.0000 0.0000 0.5000
Na 0.0000 0.5000 0.0000
Na 0.5000 0.0000 0.0000
Zr 0.5000 0.5000 0.5000
Sb 0.0000 0.0000 0.0000

11.
Here is a geometry-optimized Na3ZrSb structure from the Alexandria database. Energies are from PBE.

Results
The calculation puts the uncorrected formation energy at 1.22 eV/atom. Its raw total energy is -2.110 eV/atom. As for the polymorph energy (0 for the lowest one): 470 meV per atom. The calculated volume comes out at 199.30 Å³ per cell.

Lattice parameters (Å, degrees): 5.8412 5.8412 5.8412 90.00 90.00 90.00
Fractional positions:
Na 0.0000 0.0000 0.5000
Na 0.0000 0.5000 0.0000
Na 0.5000 0.0000 0.0000
Zr 0.0000 0.0000 0.0000
Sb 0.5000 0.5000 0.5000

12.
Here is a geometry-optimized NaSc structure from the Alexandria database. Energies are from PBE.

Results
Its raw total energy is -3.153 eV/atom. Its formation energy is 0.672 eV/atom. As for the polymorph energy (0 for the lowest one): 366 meV per atom. The calculated volume comes out at 227.10 Å³ per cell.

Lattice parameters (Å, degrees): 7.4285 7.1338 6.2957 66.83 61.99 51.18
Fractional positions:
Na 0.0383 0.7117 0.7117
Na 0.2883 0.9617 0.9617
Na 0.7117 0.0383 0.0383
Na 0.9617 0.2883 0.2883
Sc 0.2114 0.5386 0.2114
Sc 0.4614 0.7886 0.4614
Sc 0.5386 0.2114 0.5386
Sc 0.7886 0.4614 0.7886

Which value of calculated volume does entry 12 give?
227.10 Å³ per cell